9
Lattice="-0.901 3.584 6.443 3.300 -2.534 6.152 5.925 3.930 2.924" Properties=species:S:1:pos:R:3 comment="LaPm2Dy6 | Alexandria | GGA-PBE | optimized geometry" ef_kj_per_mol_atoms=29.5 vol_a3_per_fu=304.8 pbc="T T T"
La 1.055 0.529 4.135
Pm 6.161 3.677 11.660
Pm 2.944 1.639 8.062
Dy 4.279 4.895 8.689
Dy 6.486 1.679 8.535
Dy 4.751 3.012 5.302
Dy 3.687 -0.243 4.934
Dy 1.827 1.184 1.464
Dy 1.318 3.206 5.095

***

16
Lattice="5.088 0.000 0.000 0.000 7.190 0.000 0.000 0.000 14.395" Properties=species:S:1:pos:R:3 comment="LaPm2Dy5 | Alexandria | GGA-PBE | optimized geometry" ef_kj_per_mol_atoms=2.1 vol_a3_per_fu=263.3 pbc="T T T"
La 0.000 0.000 7.198
La 0.000 3.595 0.000
Pm 2.544 1.821 9.015
Pm 2.544 5.369 5.380
Pm 2.544 1.774 1.818
Pm 2.544 5.416 12.577
Dy 0.000 0.000 0.000
Dy 0.000 3.595 7.198
Dy 0.000 3.620 10.766
Dy 0.000 3.570 3.629
Dy 0.000 7.165 3.568
Dy 0.000 0.025 10.827
Dy 2.544 1.811 12.578
Dy 2.544 5.379 1.817
Dy 2.544 1.784 5.380
Dy 2.544 5.406 9.015

***

11
Lattice="-0.393 -5.394 -3.105 6.213 -1.034 5.289 -5.386 -0.698 6.177" Properties=species:S:1:pos:R:3 comment="La7Pm2Dy2 | Alexandria | GGA-PBE | optimized geometry" ef_kj_per_mol_atoms=10.9 vol_a3_per_fu=392.5 pbc="T T T"
La 3.413 -4.949 5.500
La 3.249 -2.357 2.385
La -2.979 -2.177 2.861
La -2.816 -4.769 5.977
La -0.197 -2.697 -1.552
La 0.357 -2.622 5.652
La 0.077 -4.504 2.709
Pm 0.151 -0.896 2.310
Pm 0.283 -6.231 6.052
Dy -2.908 -0.770 5.987
Dy 3.735 -0.962 5.479